<one>
The following is a DFT calculation (GGA-PBE) of a relaxed Cu4Ag crystal.

a = 13.6230 Å, b = 3.6711 Å, c = 5.3368 Å
α = 90.00°, β = 102.20°, γ = 90.00°
Space group C2/m (No. 12)
Symmetry-distinct sites (fractional):
Cu: 0.0000 0.0000 0.0000 x2
Cu: 0.0000 0.0000 0.5000 x2
Cu: 0.0925 0.5000 0.2876 x4
Cu: 0.0955 0.5000 0.8099 x4
Cu: 0.1943 0.0000 0.0939 x4
Ag: 0.1960 0.0000 0.6067 x4


<two>
The following is a DFT calculation (GGA-PBE) of a relaxed Cu4Ag crystal.

a = 4.5348 Å, b = 2.6906 Å, c = 10.7916 Å
α = 90.00°, β = 96.77°, γ = 90.00°
Space group P2_1/m (No. 11)
Symmetry-distinct sites (fractional):
Cu: 0.0503 0.2500 0.3944 x2
Cu: 0.1386 0.7500 0.1933 x2
Cu: 0.2472 0.2500 0.0034 x2
Cu: 0.3476 0.7500 0.8159 x2
Ag: 0.4462 0.2500 0.6110 x2


Relative energies, unit eV/atom: <one> 0.000; <two> 0.010